# SiRuRh3 (PBE, relaxed)
data_SiRuRh3
_cell_length_a 4.652
_cell_length_b 4.652
_cell_length_c 4.652
_cell_angle_alpha 90.00
_cell_angle_beta 90.00
_cell_angle_gamma 90.00
_space_group_name_H-M_alt 'P m -3 m'
_space_group_IT_number 221
_space_group_name_Hall '-P 4 2 3'
loop_
_atom_site_label
_atom_site_fract_x
_atom_site_fract_y
_atom_site_fract_z
Si1 0.000 0.000 0.000
Ru1 0.500 0.500 0.500
Rh1 0.000 0.500 0.500
# V (Å³/cell): 100.6
# Size of the total moment (μB/atom): 0.000
# DOS at the Fermi energy (states/eV/atom): 1.208
# Energy relative to the lowest polymorph listed for this composition (eV per formula unit): 4.17
# Raw formation energy (meV/atom): 1442.3

---

# SiRuRh2 (PBE, relaxed)
data_SiRuRh2
_cell_length_a 2.811
_cell_length_b 2.811
_cell_length_c 6.917
_cell_angle_alpha 90.00
_cell_angle_beta 90.00
_cell_angle_gamma 90.00
_space_group_name_H-M_alt 'P 4/m m m'
_space_group_IT_number 123
_space_group_name_Hall '-P 4 2'
loop_
_atom_site_label
_atom_site_fract_x
_atom_site_fract_y
_atom_site_fract_z
Si1 0.000 0.000 0.000
Ru1 0.000 0.000 0.500
Rh1 0.500 0.500 0.213
# V (Å³/cell): 54.7
# Size of the total moment (μB/atom): 0.458
# DOS at the Fermi energy (states/eV/atom): 1.028
# Raw formation energy (meV/atom): -293.9

---

# Si2RuRh (PBE, relaxed)
data_Si2RuRh
_cell_length_a 3.154
_cell_length_b 3.154
_cell_length_c 5.464
_cell_angle_alpha 90.00
_cell_angle_beta 90.00
_cell_angle_gamma 90.00
_space_group_name_H-M_alt 'P 4 m m'
_space_group_IT_number 99
loop_
_space_group_symop_operation_xyz
'x,y,z'
'-y,x,z'
'-x,-y,z'
'y,-x,z'
'-x,y,z'
'y,x,z'
'x,-y,z'
'-y,-x,z'
loop_
_atom_site_label
_atom_site_fract_x
_atom_site_fract_y
_atom_site_fract_z
Si1 0.000 0.000 0.000
Si2 0.500 0.500 0.278
Ru1 0.500 0.500 0.824
Rh1 0.000 0.000 0.449
# V (Å³/cell): 54.4
# Size of the total moment (μB/atom): 0.000
# DOS at the Fermi energy (states/eV/atom): 0.430
# Raw formation energy (meV/atom): -570.2

---

# SiRuRh2 (PBE, relaxed)
data_SiRuRh2
_cell_length_a 5.383
_cell_length_b 7.373
_cell_length_c 2.747
_cell_angle_alpha 90.00
_cell_angle_beta 90.00
_cell_angle_gamma 90.00
_space_group_name_H-M_alt 'C m m m'
_space_group_IT_number 65
_space_group_name_Hall '-C 2 2'
loop_
_atom_site_label
_atom_site_fract_x
_atom_site_fract_y
_atom_site_fract_z
Si1 0.000 0.000 0.000
Ru1 0.000 0.500 0.000
Rh1 0.250 0.250 0.500
# V (Å³/cell): 109.0
# Size of the total moment (μB/atom): 0.000
# DOS at the Fermi energy (states/eV/atom): 0.809
# Raw formation energy (meV/atom): -249.9

---

# Si2Ru2Rh (PBE, relaxed)
data_Si2Ru2Rh
_cell_length_a 7.004
_cell_length_b 7.004
_cell_length_c 2.803
_cell_angle_alpha 90.00
_cell_angle_beta 90.00
_cell_angle_gamma 90.00
_space_group_name_H-M_alt 'P 4/m b m'
_space_group_IT_number 127
_space_group_name_Hall '-P 4 2ab'
loop_
_atom_site_label
_atom_site_fract_x
_atom_site_fract_y
_atom_site_fract_z
Si1 0.161 0.339 0.000
Ru1 0.138 0.638 0.500
Rh1 0.000 0.000 0.500
# V (Å³/cell): 137.5
# Size of the total moment (μB/atom): 0.000
# DOS at the Fermi energy (states/eV/atom): 1.079
# Energy relative to the lowest polymorph listed for this composition (eV per formula unit): 1.00
# Raw formation energy (meV/atom): -270.0

---

# SiRuRh2 (PBE, relaxed)
data_SiRuRh2
_cell_length_a 2.933
_cell_length_b 4.290
_cell_length_c 8.681
_cell_angle_alpha 90.00
_cell_angle_beta 90.00
_cell_angle_gamma 90.00
_space_group_name_H-M_alt 'I m m m'
_space_group_IT_number 71
_space_group_name_Hall '-I 2 2'
loop_
_atom_site_label
_atom_site_fract_x
_atom_site_fract_y
_atom_site_fract_z
Si1 0.000 0.000 0.000
Ru1 0.000 0.000 0.500
Rh1 0.000 0.500 0.282
# V (Å³/cell): 109.2
# Size of the total moment (μB/atom): 0.037
# DOS at the Fermi energy (states/eV/atom): 1.455
# Raw formation energy (meV/atom): -303.0

---

# Si2RuRh (PBE, relaxed)
data_Si2RuRh
_cell_length_a 3.508
_cell_length_b 3.508
_cell_length_c 8.662
_cell_angle_alpha 90.00
_cell_angle_beta 90.00
_cell_angle_gamma 90.00
_space_group_name_H-M_alt 'I -4 m 2'
_space_group_IT_number 119
_space_group_name_Hall 'I -4 -2'
loop_
_atom_site_label
_atom_site_fract_x
_atom_site_fract_y
_atom_site_fract_z
Si1 0.000 0.000 0.000
Si2 0.000 0.500 0.250
Ru1 0.000 0.000 0.500
Rh1 0.000 0.500 0.750
# V (Å³/cell): 106.6
# Size of the total moment (μB/atom): 0.000
# DOS at the Fermi energy (states/eV/atom): 0.867
# Raw formation energy (meV/atom): -350.1

---

# Si2RuRh (PBE, relaxed)
data_Si2RuRh
_cell_length_a 7.767
_cell_length_b 2.860
_cell_length_c 4.951
_cell_angle_alpha 90.00
_cell_angle_beta 102.56
_cell_angle_gamma 90.00
_space_group_name_H-M_alt 'C 1 2/m 1'
_space_group_IT_number 12
loop_
_space_group_symop_operation_xyz
'x,y,z'
'-x,-y,-z'
'-x,y,-z'
'x,-y,z'
'x+1/2,y+1/2,z'
'-x+1/2,-y+1/2,-z'
'-x+1/2,y+1/2,-z'
'x+1/2,-y+1/2,z'
loop_
_atom_site_label
_atom_site_fract_x
_atom_site_fract_y
_atom_site_fract_z
Si1 0.249 0.000 0.242
Ru1 0.000 0.500 0.000
Rh1 0.000 0.000 0.500
# V (Å³/cell): 107.4
# Size of the total moment (μB/atom): 0.000
# DOS at the Fermi energy (states/eV/atom): 0.616
# Raw formation energy (meV/atom): -494.0

---

# Si2Ru2Rh (PBE, relaxed)
data_Si2Ru2Rh
_cell_length_a 6.894
_cell_length_b 6.894
_cell_length_c 2.818
_cell_angle_alpha 90.00
_cell_angle_beta 90.00
_cell_angle_gamma 90.00
_space_group_name_H-M_alt 'P 4/m b m'
_space_group_IT_number 127
_space_group_name_Hall '-P 4 2ab'
loop_
_atom_site_label
_atom_site_fract_x
_atom_site_fract_y
_atom_site_fract_z
Si1 0.148 0.352 0.000
Ru1 0.151 0.651 0.500
Rh1 0.000 0.000 0.000
# V (Å³/cell): 133.9
# Size of the total moment (μB/atom): 0.000
# DOS at the Fermi energy (states/eV/atom): 0.986
# Energy relative to the lowest polymorph listed for this composition (eV per formula unit): 0.00
# Raw formation energy (meV/atom): -469.6

---

# Si4RuRh (PBE, relaxed)
data_Si4RuRh
_cell_length_a 6.836
_cell_length_b 6.836
_cell_length_c 6.836
_cell_angle_alpha 90.00
_cell_angle_beta 90.00
_cell_angle_gamma 90.00
_space_group_name_H-M_alt 'F -4 3 m'
_space_group_IT_number 216
_space_group_name_Hall 'F -4 2 3'
loop_
_atom_site_label
_atom_site_fract_x
_atom_site_fract_y
_atom_site_fract_z
Si1 0.125 0.125 0.125
Ru1 0.000 0.000 0.500
Rh1 0.250 0.250 0.750
# V (Å³/cell): 319.5
# Size of the total moment (μB/atom): 0.000
# DOS at the Fermi energy (states/eV/atom): 0.796
# Raw formation energy (meV/atom): 334.7

---

# Si2RuRh2 (PBE, relaxed)
data_Si2RuRh2
_cell_length_a 3.604
_cell_length_b 3.604
_cell_length_c 11.250
_cell_angle_alpha 90.00
_cell_angle_beta 90.00
_cell_angle_gamma 90.00
_space_group_name_H-M_alt 'I 4/m m m'
_space_group_IT_number 139
_space_group_name_Hall '-I 4 2'
loop_
_atom_site_label
_atom_site_fract_x
_atom_site_fract_y
_atom_site_fract_z
Si1 0.000 0.500 0.250
Ru1 0.000 0.000 0.000
Rh1 0.000 0.000 0.387
# V (Å³/cell): 146.1
# Size of the total moment (μB/atom): 0.084
# DOS at the Fermi energy (states/eV/atom): 0.772
# Energy relative to the lowest polymorph listed for this composition (eV per formula unit): 2.17
# Raw formation energy (meV/atom): -99.9

---

# SiRuRh2 (PBE, relaxed)
data_SiRuRh2
_cell_length_a 2.7690
_cell_length_b 2.7690
_cell_length_c 24.7279
_cell_angle_alpha 90.00
_cell_angle_beta 90.00
_cell_angle_gamma 120.00
_space_group_name_H-M_alt 'R -3 m'
_space_group_IT_number 166
_space_group_name_Hall '-R 3 2"'
loop_
_atom_site_label
_atom_site_fract_x
_atom_site_fract_y
_atom_site_fract_z
Si1 0.0000 0.0000 0.0000
Ru1 0.0000 0.0000 0.5000
Rh1 0.0000 0.0000 0.2574
# V (Å³/cell): 164.2
# Size of the total moment (μB/atom): 0.000
# DOS at the Fermi energy (states/eV/atom): 0.662
# Raw formation energy (meV/atom): -246.2

---

# SiRu3Rh (PBE, relaxed)
data_SiRu3Rh
_cell_length_a 4.321
_cell_length_b 4.321
_cell_length_c 4.321
_cell_angle_alpha 90.00
_cell_angle_beta 90.00
_cell_angle_gamma 90.00
_space_group_name_H-M_alt 'P m -3 m'
_space_group_IT_number 221
_space_group_name_Hall '-P 4 2 3'
loop_
_atom_site_label
_atom_site_fract_x
_atom_site_fract_y
_atom_site_fract_z
Si1 0.000 0.000 0.000
Ru1 0.000 0.000 0.500
Rh1 0.500 0.500 0.500
# V (Å³/cell): 80.7
# Size of the total moment (μB/atom): 0.000
# DOS at the Fermi energy (states/eV/atom): 1.490
# Energy relative to the lowest polymorph listed for this composition (eV per formula unit): 0.00
# Raw formation energy (meV/atom): 879.0

---

# SiRuRh2 (PBE, relaxed)
data_SiRuRh2
_cell_length_a 2.844
_cell_length_b 2.844
_cell_length_c 6.714
_cell_angle_alpha 90.00
_cell_angle_beta 90.00
_cell_angle_gamma 90.00
_space_group_name_H-M_alt 'P 4 m m'
_space_group_IT_number 99
loop_
_space_group_symop_operation_xyz
'x,y,z'
'-y,x,z'
'-x,-y,z'
'y,-x,z'
'-x,y,z'
'y,x,z'
'x,-y,z'
'-y,-x,z'
loop_
_atom_site_label
_atom_site_fract_x
_atom_site_fract_y
_atom_site_fract_z
Si1 0.000 0.000 0.000
Ru1 0.500 0.500 0.781
Rh1 0.000 0.000 0.510
Rh2 0.500 0.500 0.208
# V (Å³/cell): 54.3
# Size of the total moment (μB/atom): 0.000
# DOS at the Fermi energy (states/eV/atom): 1.135
# Raw formation energy (meV/atom): -340.1